# 1
12
Lattice="3.0925 -5.3588 0.0000 3.0925 5.3588 0.0000 -2.0633 0.0000 11.6460" Properties=species:S:1:pos:R:3 comment="La3NdY6Sc2 (PBE, relaxed)" mass_density_g_cm3=5.095 delta_e_f_ev_per_atom=0.044 n_ef_per_ev_atom=1.483 spacegroup="C2/m, No. 12" magnetic_moment_mub_per_fu=0.00 vol_a3_per_atom=32.2 e_tot_ev_per_cell=-70.46 pbc="T T T"
La 0.0000 0.0000 0.0000
La 3.0925 1.7889 0.0000
La 3.0925 -1.7889 0.0000
Nd 2.0608 0.0000 5.8230
Y 1.0185 1.8033 3.0156
Y -0.0209 0.0000 8.6332
Y 1.0185 -1.8033 3.0156
Y 3.1031 1.8033 8.6304
Y 4.1425 0.0000 3.0129
Y 3.1031 -1.8033 8.6304
Sc 2.0608 3.5697 5.8230
Sc 2.0608 -3.5697 5.8230

=====

# 2
15
Lattice="5.8096 3.3542 4.5287 -5.8096 3.3542 4.5287 0.0000 -6.7083 4.5287" Properties=species:S:1:pos:R:3 comment="Tb6YTe8 (PBE, relaxed)" mass_density_g_cm3=6.471 n_ef_per_ev_atom=0.768 spacegroup="R-3, No. 148" magnetic_moment_mub_per_fu=0.00 vol_a3_per_atom=35.3 e_form_raw_ev_per_atom=-1.0690 e_tot_ev_per_cell=-75.41 de_polymorph_ev_per_atom=0.318 pbc="T T T"
Tb -2.1256 -0.2818 5.2988
Tb 1.3068 -1.6999 5.2988
Tb -0.8188 -1.9817 8.2874
Tb 0.8188 1.9817 5.2988
Tb -1.3069 1.6999 8.2874
Tb 2.1256 0.2818 8.2874
Y 0.0000 0.0000 0.0000
Te -1.2673 -3.3884 5.5554
Te 0.0000 0.0000 3.0795
Te -3.5681 -0.5967 8.0309
Te -2.3008 2.7917 5.5554
Te 2.3008 -2.7917 8.0309
Te 3.5681 0.5967 5.5554
Te 0.0000 0.0000 10.5067
Te 1.2673 3.3884 8.0309

=====

# 3
4
Lattice="-2.2723 2.9337 4.1740 2.2723 -2.9337 4.1740 2.2723 2.9337 -4.1740" Properties=species:S:1:pos:R:3 comment="BaZn2Cd (PBE, relaxed)" mass_density_g_cm3=5.678 delta_e_f_ev_per_atom=-0.084 n_ef_per_ev_atom=0.366 spacegroup="Imm2, No. 44" magnetic_moment_mub_per_fu=0.00 vol_a3_per_atom=27.8 e_tot_ev_per_cell=-5.72 pbc="T T T"
Ba 0.0000 0.0000 0.0000
Zn 0.0000 0.0000 4.5811
Zn 0.0000 2.9337 1.6245
Cd 2.2723 0.0000 2.5669

=====

# 4
6
Lattice="0.0000 3.5975 3.5975 3.5975 0.0000 3.5975 3.5975 3.5975 0.0000" Properties=species:S:1:pos:R:3 comment="GdCu4Ag (PBE, relaxed)" mass_density_g_cm3=9.261 delta_e_f_ev_per_atom=-0.195 n_ef_per_ev_atom=1.023 spacegroup="F-43m, No. 216" magnetic_moment_mub_per_fu=7.55 vol_a3_per_atom=15.5 e_tot_ev_per_cell=-34.48 pbc="T T T"
Gd 0.0000 0.0000 0.0000
Cu 4.4890 2.7060 2.7060
Cu 2.7060 4.4890 2.7060
Cu 2.7060 2.7060 4.4890
Cu 4.4890 4.4890 4.4890
Ag 1.7987 1.7987 1.7987

=====

# 5
12
Lattice="0.0000 5.0225 8.6914 3.3842 0.0000 8.6914 3.3842 5.0225 0.0000" Properties=species:S:1:pos:R:3 comment="Dy2MgCd3 (PBE, relaxed)" mass_density_g_cm3=7.717 delta_e_f_ev_per_atom=-0.269 n_ef_per_ev_atom=0.741 spacegroup="Fmmm, No. 69" magnetic_moment_mub_per_fu=0.00 vol_a3_per_atom=24.6 e_tot_ev_per_cell=-30.31 de_polymorph_ev_per_atom=0.035 pbc="T T T"
Dy 5.0914 5.0225 8.6914
Dy 1.6921 2.5113 4.3457
Dy 5.0763 7.5338 13.0371
Dy 1.6770 5.0225 8.6914
Mg 3.3842 5.0225 5.7855
Mg 3.3842 5.0225 11.5973
Cd 3.3842 5.0225 2.9095
Cd 3.3842 2.5306 7.2297
Cd 3.3842 2.5306 10.1531
Cd 3.3842 7.5145 7.2297
Cd 3.3842 7.5145 10.1531
Cd 3.3842 5.0225 14.4732

=====

# 6
3
Lattice="4.7307 0.0000 0.0000 -2.3653 4.0969 0.0000 0.0000 0.0000 3.1458" Properties=species:S:1:pos:R:3 comment="PuInNi (PBE, relaxed)" mass_density_g_cm3=11.371 delta_e_f_ev_per_atom=-0.060 n_ef_per_ev_atom=3.296 spacegroup="P-6m2, No. 187" magnetic_moment_mub_per_fu=5.30 vol_a3_per_atom=20.3 e_tot_ev_per_cell=-23.03 pbc="T T T"
Pu 0.0000 0.0000 0.0000
In 2.3653 1.3656 1.5729
Ni 0.0000 2.7313 1.5729

=====

# 7
8
Lattice="2.7582 -6.3398 0.0000 2.7582 6.3398 0.0000 0.0000 0.0000 6.7308" Properties=species:S:1:pos:R:3 comment="Dy2HoSn (PBE, relaxed)" mass_density_g_cm3=8.587 delta_e_f_ev_per_atom=-0.267 n_ef_per_ev_atom=1.200 spacegroup="Cmcm, No. 63" magnetic_moment_mub_per_fu=0.00 vol_a3_per_atom=29.4 e_tot_ev_per_cell=-37.71 de_polymorph_ev_per_atom=0.148 pbc="T T T"
Dy 2.7582 4.6501 3.4755
Dy 2.7582 4.6501 6.6207
Dy 2.7582 -4.6501 0.1101
Dy 2.7582 -4.6501 3.2553
Ho 2.7582 0.9118 5.0481
Ho 2.7582 -0.9118 1.6827
Sn 2.7582 2.1367 1.6827
Sn 2.7582 -2.1367 5.0481

=====

# 8
10
Lattice="5.4209 0.0000 0.0000 0.0000 5.4209 0.0000 0.0000 0.0000 5.2519" Properties=species:S:1:pos:R:3 comment="TiS2F2 (PBE, relaxed)" mass_density_g_cm3=3.228 n_ef_per_ev_atom=0.545 spacegroup="P4/mbm, No. 127" magnetic_moment_mub_per_fu=0.46 vol_a3_per_atom=15.4 e_form_raw_ev_per_atom=-1.5637 e_tot_ev_per_cell=-55.42 de_polymorph_ev_per_atom=0.000 pbc="T T T"
Ti 0.0000 0.0000 0.0000
Ti 2.7104 2.7104 0.0000
S 0.6923 2.0181 2.6259
S 2.0181 4.7286 2.6259
S 3.4027 0.6923 2.6259
S 4.7286 3.4027 2.6259
F 1.0313 3.7417 0.0000
F 1.6791 1.0313 0.0000
F 3.7417 4.3895 0.0000
F 4.3895 1.6791 0.0000